CaSm3Y6 PBE relaxed; calculated total energy = -108.4 eV/cell; formation energy = 0.07 eV/atom; DOS(E_F) = 1.743 states/eV/atom; total magnetic moment = 0.003 μB/f.u.
1.0
-0.623 -3.285 1.332
7.271 -4.755 -8.325
9.750 3.193 12.436
Y Sm Ca
12 6 2
Cartesian
8.451 -3.898 1.634 Y
7.947 -0.948 3.810 Y
4.485 -2.019 4.413 Y
7.234 -3.052 -1.712 Y
11.913 -2.828 1.030 Y
12.624 -1.026 5.808 Y
2.586 -0.917 1.381 Y
9.948 0.106 12.209 Y
6.450 -4.953 -6.766 Y
3.774 -3.821 -0.364 Y
9.164 -1.795 7.156 Y
13.812 -3.930 4.063 Y
10.526 -3.238 4.234 Sm
6.241 0.441 6.439 Sm
5.872 -1.609 1.210 Sm
8.189 1.195 9.210 Sm
8.209 -6.042 -3.766 Sm
10.157 -5.288 -0.995 Sm
11.667 0.432 8.956 Ca
4.730 -5.279 -3.512 Ca